# 1
Computed, not measured: a relaxed Sc2FeAs crystal at the PBE level of DFT.

Cell: 9.2032 9.2032 9.2032 Å, 19.95 19.95 19.95°
Closest atoms and distances in Å follow each position.
Sites, in units of the cell vectors:
Sc (0.1010, 0.1010, 0.1010)  3 Fe 2.56, 1 As 2.73
Sc (0.8990, 0.8990, 0.8990)  3 Fe 2.56, 1 As 2.73
Fe (0.5000, 0.5000, 0.5000)  6 Sc 2.56
As (0.0000, 0.0000, 0.0000)  2 Sc 2.73

M_tot   0.00 μB per formula unit
Volume   19.85 Å³/atom
Formation energy   0.092 eV per atom
Energy   -6.35 eV/atom

***

# 2
Computed, not measured: a relaxed Be2AlP crystal at the PBE level of DFT.

Cell: 6.9697 6.9697 6.9697 Å, 24.64 24.64 24.64°
Closest atoms and distances in Å follow each position.
Sites, in units of the cell vectors:
Be (0.2375, 0.2375, 0.2375)  3 P 2.24
Be (0.7625, 0.7625, 0.7625)  3 P 2.24
Al (0.0000, 0.0000, 0.0000)  6 Be 2.59
P (0.5000, 0.5000, 0.5000)  6 Be 2.24

M_tot   0.00 μB per formula unit
Energy above the lowest structure with this stoichiometry   0.46 eV/f.u.
Volume   12.94 Å³/atom
Formation energy   0.262 eV per atom
Energy   -3.89 eV/atom

***

# 3
Computed, not measured: a relaxed CdSiSnHg crystal at the PBE level of DFT.

Cell: 4.1628 4.1628 6.7587 Å, 90.00 90.00 120.00°
Closest atoms and distances in Å follow each position.
Sites, in units of the cell vectors:
Cd (0.0000, 0.0000, 0.0000)  3 Si 2.87, 3 Hg 3.02
Si (0.3333, 0.6667, 0.7691)  3 Sn 2.72, 3 Cd 2.87
Sn (0.6667, 0.3333, 0.5822)  3 Si 2.72
Hg (0.3333, 0.6667, 0.2717)  3 Cd 3.02, 3 Sn 3.19, 1 Si 3.36

M_tot   0.00 μB per formula unit
Energy above the lowest structure with this stoichiometry   0.08 eV/f.u.
Volume   25.36 Å³/atom
Energy   -2.44 eV/atom

***

# 4
Computed, not measured: a relaxed LaRuPt crystal at the PBE level of DFT.

Cell: 4.6095 4.6095 4.6095 Å, 60.00 60.00 60.00°
Closest atoms and distances in Å follow each position.
Sites, in units of the cell vectors:
La (0.0000, 0.0000, 0.0000)  4 Ru 2.82, 4 Pt 2.82
Ru (0.7500, 0.7500, 0.7500)  4 La 2.82
Pt (0.2500, 0.2500, 0.2500)  4 La 2.82

M_tot   0.00 μB per formula unit
Volume   23.08 Å³/atom
Formation energy   0.328 eV per atom
Energy   -6.42 eV/atom

***

# 5
Computed, not measured: a relaxed Li2TaBiO6 crystal at the PBE level of DFT.

Cell: 5.6370 5.6370 5.6370 Å, 56.06 56.06 56.06°
Closest atoms and distances in Å follow each position.
Sites, in units of the cell vectors:
Li (0.0000, 0.0000, 0.0000)  3 O 2.07
Li (0.4962, 0.4962, 0.4962)  3 O 2.01
Ta (0.2130, 0.2130, 0.2130)  6 O 1.96-2.05
Bi (0.7133, 0.7133, 0.7133)  6 O 2.11-2.18
O (0.1092, 0.8288, 0.4226)  1 Li 2.01, 1 Ta 2.05, 1 Bi 2.11
O (0.3141, 0.5846, 0.9470)  1 Ta 1.96, 1 Li 2.07, 1 Bi 2.18
O (0.4226, 0.1092, 0.8288)  1 Li 2.01, 1 Ta 2.05, 1 Bi 2.11
O (0.5846, 0.9470, 0.3141)  1 Ta 1.96, 1 Li 2.07, 1 Bi 2.18
O (0.8288, 0.4226, 0.1092)  1 Li 2.01, 1 Ta 2.05, 1 Bi 2.11
O (0.9470, 0.3141, 0.5846)  1 Ta 1.96, 1 Li 2.07, 1 Bi 2.18

M_tot   0.00 μB per formula unit
Volume   11.51 Å³/atom
Energy   -6.87 eV/atom

***

# 6
Computed, not measured: a relaxed Sm7Ge2Bi2 crystal at the PBE level of DFT.

Cell: 7.2616 7.2616 6.8505 Å, 90.00 90.00 100.48°
Closest atoms and distances in Å follow each position.
Sites, in units of the cell vectors:
Sm (0.0000, 0.0000, 0.0000)  2 Ge 3.03
Sm (0.0000, 0.5000, 0.2585)  2 Ge 2.93
Sm (0.0000, 0.5000, 0.7415)  2 Ge 2.93
Sm (0.5000, 0.0000, 0.2585)  2 Ge 2.93
Sm (0.5000, 0.0000, 0.7415)  2 Ge 2.93
Sm (0.5000, 0.5000, 0.2429)  2 Ge 3.05, 1 Sm 3.33, 2 Bi 3.35
Sm (0.5000, 0.5000, 0.7571)  2 Ge 3.05, 1 Sm 3.33, 2 Bi 3.35
Ge (0.2713, 0.7287, 0.0000)  7 Sm 2.93-3.05
Ge (0.7287, 0.2713, 0.0000)  7 Sm 2.93-3.05
Bi (0.1929, 0.1929, 0.5000)  6 Sm 3.29-3.35, 1 Bi 3.58
Bi (0.8071, 0.8071, 0.5000)  6 Sm 3.29-3.35, 1 Bi 3.58

M_tot   0.00 μB per formula unit
Volume   32.29 Å³/atom
Formation energy   -0.457 eV per atom
Energy   -5.00 eV/atom